Entry 1:
{
  "formula": "NbNiPt5",
  "functional": "PBE",
  "state": "optimized geometry",
  "lattice": [[3.990, 0.000, 0.000], [0.000, 3.990, 0.000], [0.000, 0.000, 7.005]],
  "species": ["Ni", "Nb", "Pt", "Pt", "Pt", "Pt", "Pt"],
  "frac_coords": [[0.500, 0.500, 0.000], [0.000, 0.000, 0.500], [0.000, 0.500, 0.779], [0.500, 0.500, 0.500], [0.500, 0.000, 0.221], [0.500, 0.000, 0.779], [0.000, 0.500, 0.221]],
  "formation_energy_ev_per_atom": -0.37,
  "energy_ev_per_atom": -6.95
}

=====

Entry 2:
{
  "formula": "Nb2Ni8Pt",
  "functional": "PBE",
  "state": "optimized geometry",
  "lattice": [[3.600, 0.000, -0.907], [0.141, 5.681, 0.559], [-0.183, 0.910, 6.898]],
  "species": ["Ni", "Ni", "Ni", "Ni", "Ni", "Ni", "Ni", "Ni", "Nb", "Nb", "Pt"],
  "frac_coords": [[0.951, 0.722, 0.902], [0.681, 0.103, 0.362], [0.589, 0.538, 0.178], [0.772, 0.638, 0.544], [0.411, 0.462, 0.822], [0.049, 0.278, 0.098], [0.319, 0.897, 0.638], [0.228, 0.362, 0.456], [0.858, 0.192, 0.717], [0.142, 0.808, 0.283], [0.500, 0.000, 0.000]],
  "formation_energy_ev_per_atom": -0.23,
  "energy_ev_per_atom": -6.82
}

=====

Entry 3:
{
  "formula": "NbNi3Pt",
  "functional": "PBE",
  "state": "optimized geometry",
  "lattice": [[-0.458, 3.836, -1.961], [-5.038, -1.165, -1.104], [-1.899, 4.322, 4.107]],
  "species": ["Ni", "Ni", "Ni", "Ni", "Ni", "Ni", "Nb", "Nb", "Pt", "Pt"],
  "frac_coords": [[0.814, 0.505, 0.872], [0.997, 0.750, 0.505], [0.814, 0.995, 0.872], [0.003, 0.250, 0.495], [0.186, 0.495, 0.128], [0.186, 0.005, 0.128], [0.391, 0.250, 0.718], [0.609, 0.750, 0.282], [0.626, 0.250, 0.250], [0.374, 0.750, 0.750]],
  "polymorph_energy_ev_per_atom": 0.043,
  "formation_energy_ev_per_atom": -0.24,
  "energy_ev_per_atom": -6.93
}

=====

Entry 4:
{
  "formula": "NbNiPt6",
  "functional": "PBE",
  "state": "optimized geometry",
  "lattice": [[-0.860, -3.104, -3.471], [2.536, -3.953, 0.602], [-4.358, -4.972, 2.597]],
  "species": ["Pt", "Pt", "Pt", "Pt", "Pt", "Pt", "Ni", "Nb"],
  "frac_coords": [[0.443, 0.932, 0.701], [0.068, 0.557, 0.299], [0.345, 0.345, 0.944], [0.932, 0.443, 0.701], [0.557, 0.068, 0.299], [0.655, 0.655, 0.056], [0.000, 0.000, 0.000], [0.500, 0.500, 0.500]],
  "polymorph_energy_ev_per_atom": 0.256,
  "formation_energy_ev_per_atom": -0.10,
  "energy_ev_per_atom": -6.61
}